PmGa3FeCo: relaxed, PBE.

Computed properties:
**DFT total energy**: -5.086 eV/atom
**Space group**: Cmcm (63)

abc: 5.770 7.423 6.333
angles: 125.88 90.00 90.00
Positions (direct):
Pm  0.750  0.268  0.536
Pm  0.250  0.732  0.464
Ga  0.250  0.229  0.458
Ga  0.000  0.253  0.000
Ga  0.500  0.747  0.000
Ga  0.500  0.253  0.000
Ga  0.000  0.747  0.000
Ga  0.750  0.771  0.542
Fe  0.250  0.449  0.897
Fe  0.750  0.551  0.103
Co  0.250  0.011  0.023
Co  0.750  0.989  0.977

***

TmGa5Tc2: relaxed, PBE.

Computed properties:
**DFT total energy**: -5.261 eV/atom
**Space group**: Immm (71)

abc: 3.483 6.703 6.703
angles: 73.82 74.94 74.94
Positions (direct):
Tm  0.000  0.000  0.000
Ga  0.000  0.500  0.500
Ga  0.648  0.565  0.139
Ga  0.352  0.435  0.861
Ga  0.352  0.861  0.435
Ga  0.648  0.139  0.565
Tc  0.757  0.743  0.743
Tc  0.243  0.257  0.257

***

ScGa2Cl: relaxed, PBE.

Computed properties:
**E_form (uncorrected)**: 0.008 eV/atom
**Energy relative to the lowest polymorph listed for this composition**: 310 meV per atom
**DFT total energy**: -3.550 eV/atom
**Space group**: Fm-3m (225)

abc: 4.973 4.973 4.973
angles: 60.00 60.00 60.00
Positions (direct):
Sc  0.500  0.500  0.500
Ga  0.250  0.250  0.250
Ga  0.750  0.750  0.750
Cl  0.000  0.000  0.000

***

Y4ScPb: relaxed, PBE.

Computed properties:
**DFT total energy**: -5.736 eV/atom
**Space group**: F-43m (216)

abc: 6.404 6.404 6.404
angles: 60.00 60.00 60.00
Each line ends with the local moment (μB).
Positions (direct):
Y  0.878  0.374  0.374  0.09
Y  0.374  0.374  0.878  0.09
Y  0.374  0.878  0.374  0.09
Y  0.374  0.374  0.374  0.09
Sc  0.000  0.000  0.000  0.33
Pb  0.750  0.750  0.750  -0.01

***

LiHo2Pb: relaxed, PBE.

Computed properties:
**DFT total energy**: -3.525 eV/atom
**Space group**: R-3m (166)

abc: 3.443 3.443 11.723
angles: 81.55 81.55 60.00
Positions (direct):
Pb  0.000  0.000  0.000
Ho  0.091  0.091  0.727
Ho  0.909  0.909  0.273
Li  0.500  0.500  0.500

***

CuNi4Ge2: relaxed, PBE.

Computed properties:
**Energy relative to the lowest polymorph listed for this composition**: 463 meV per atom
**DFT total energy**: -4.665 eV/atom
**Space group**: I4/mmm (139)

abc: 4.260 4.260 6.659
angles: 71.34 71.34 90.00
Positions (direct):
Ni  0.196  0.196  0.609
Ni  0.804  0.804  0.391
Ni  0.000  0.500  0.000
Ni  0.500  0.000  0.000
Ge  0.384  0.384  0.232
Ge  0.616  0.616  0.768
Cu  0.000  0.000  0.000

***

Pm2Si3Ni4Ru: relaxed, PBE.

Computed properties:
**E_form (uncorrected)**: -0.631 eV/atom
**DFT total energy**: -6.448 eV/atom
**Space group**: P-4m2 (115)

abc: 3.990 3.990 9.904
angles: 90.00 90.00 90.00
Each line ends with the local moment (μB).
Positions (direct):
Pm  0.500  0.000  0.247  -0.01
Pm  0.000  0.500  0.753  -0.01
Si  0.000  0.000  0.500  0.00
Si  0.500  0.000  0.878  0.00
Si  0.000  0.500  0.122  0.00
Ni  0.500  0.500  0.000  0.00
Ni  0.000  0.000  0.000  0.01
Ni  0.500  0.000  0.640  0.12
Ni  0.000  0.500  0.360  0.12
Ru  0.500  0.500  0.500  0.40

***

Ba2LaScH: relaxed, PBE.

Computed properties:
**DFT total energy**: -2.824 eV/atom
**Space group**: P4/mmm (123)

abc: 6.527 5.584 6.527
angles: 90.00 90.00 90.00
Positions (direct):
Sc  0.000  0.000  0.000
H  0.500  0.500  0.500
Ba  0.000  0.000  0.500
Ba  0.500  0.000  0.000
La  0.000  0.500  0.000

***

TiTc5: relaxed, PBE.

Computed properties:
**DFT total energy**: -10.041 eV/atom
**Space group**: Cmmm (65)

abc: 3.058 4.346 6.993
angles: 108.10 90.00 90.00
Positions (direct):
Tc  0.000  0.675  0.350
Tc  0.000  0.325  0.650
Tc  0.500  0.500  0.000
Tc  0.500  0.158  0.316
Tc  0.500  0.842  0.684
Ti  0.000  0.000  0.000

***

Na3GeRh2O6: relaxed, PBE.

Computed properties:
**E_form (uncorrected)**: -1.233 eV/atom
**DFT total energy**: -5.652 eV/atom
**Space group**: C2/m (12)

abc: 5.444 5.444 5.572
angles: 99.37 99.37 120.02
Positions (direct):
Na  0.173  0.827  0.500
Na  0.827  0.173  0.500
Na  0.500  0.500  0.500
Ge  0.000  0.000  0.000
Rh  0.334  0.666  0.000
Rh  0.666  0.334  0.000
O  0.934  0.622  0.803
O  0.754  0.754  0.196
O  0.066  0.378  0.197
O  0.622  0.934  0.803
O  0.246  0.246  0.804
O  0.378  0.066  0.197

***

NbGeRu: relaxed, PBE.

Computed properties:
**DFT total energy**: -8.381 eV/atom
**Space group**: P-6m2 (187)

abc: 2.929 4.309 4.309
angles: 120.00 90.00 90.00
Positions (direct):
Ru  0.166  0.000  0.000
Nb  0.667  0.333  0.667
Ge  0.167  0.667  0.333

***

AgAsRhBr2: relaxed, PBE.

Computed properties:
**E_form (uncorrected)**: 1.017 eV/atom
**Energy relative to the lowest polymorph listed for this composition**: 783 meV per atom
**DFT total energy**: -2.623 eV/atom
**Space group**: P4/mmm (123)

abc: 5.255 5.255 5.028
angles: 90.00 90.00 90.00
Each line ends with the local moment (μB).
Positions (direct):
As  0.000  0.000  0.500  0.30
Rh  0.500  0.500  0.500  1.39
Br  0.000  0.500  0.000  0.09
Br  0.500  0.000  0.000  0.09
Ag  0.000  0.000  0.000  0.03